Below is a geometry-optimized Ca3PmRh8 structure, with properties calculated at the GGA-PBE level.

Properties
* calculated volume: 18.21 Å³/atom
* energy of formation from the pure elements: -0.5037 eV per atom

```
data_Ca3PmRh8
_symmetry_space_group_name_H-M 'R 3 m'
_symmetry_Int_Tables_number 160
_symmetry_space_group_name_Hall 'R 3 -2"'
_cell_length_a 5.3590
_cell_length_b 5.3590
_cell_length_c 26.3577
_cell_angle_alpha 90.00
_cell_angle_beta 90.00
_cell_angle_gamma 120.00
loop_
_atom_site_label
_atom_site_fract_x
_atom_site_fract_y
_atom_site_fract_z
Ca1 0.0000 0.0000 0.0000
Ca2 0.0000 0.0000 0.1232
Ca3 0.0000 0.0000 0.6272
Pm1 0.0000 0.0000 0.5005
Rh1 0.0000 0.0000 0.3128
Rh2 0.0000 0.0000 0.8126
Rh3 0.0006 0.5003 0.0630
Rh4 0.1669 0.3338 0.8959
```

=====

Below is a geometry-optimized CaPmRuRh structure, with properties calculated at the GGA-PBE level.

Properties
* calculated volume: 20.56 Å³/atom
* energy of formation from the pure elements: -0.1697 eV per atom

```
data_CaPmRuRh
_symmetry_space_group_name_H-M 'F -4 3 m'
_symmetry_Int_Tables_number 216
_symmetry_space_group_name_Hall 'F -4 2 3'
_cell_length_a 6.903
_cell_length_b 6.903
_cell_length_c 6.903
_cell_angle_alpha 90.00
_cell_angle_beta 90.00
_cell_angle_gamma 90.00
loop_
_atom_site_label
_atom_site_fract_x
_atom_site_fract_y
_atom_site_fract_z
Ca1 0.000 0.000 0.000
Pm1 0.000 0.000 0.500
Ru1 0.250 0.250 0.750
Rh1 0.250 0.250 0.250
```

=====

Below is a geometry-optimized CaPmSb2Rh5 structure, with properties calculated at the GGA-PBE level.

Properties
* calculated volume: 19.80 Å³/atom
* formation energy without anion corrections: -0.42 eV per atom

```
data_CaPmSb2Rh5
_symmetry_space_group_name_H-M 'P 4/m m m'
_symmetry_Int_Tables_number 123
_symmetry_space_group_name_Hall '-P 4 2'
_cell_length_a 4.501
_cell_length_b 4.501
_cell_length_c 8.796
_cell_angle_alpha 90.00
_cell_angle_beta 90.00
_cell_angle_gamma 90.00
loop_
_atom_site_label
_atom_site_fract_x
_atom_site_fract_y
_atom_site_fract_z
Ca1 0.000 0.000 0.000
Pm1 0.000 0.000 0.500
Sb1 0.500 0.500 0.337
Rh1 0.000 0.500 0.208
Rh2 0.500 0.500 0.000
```

=====

Below is a geometry-optimized CaPmRhSe structure, with properties calculated at the GGA-PBE level.

Properties
* calculated volume: 22.65 Å³/atom
* formation energy without anion corrections: -0.90 eV per atom

```
data_CaPmRhSe
_symmetry_space_group_name_H-M 'F -4 3 m'
_symmetry_Int_Tables_number 216
_symmetry_space_group_name_Hall 'F -4 2 3'
_cell_length_a 7.130
_cell_length_b 7.130
_cell_length_c 7.130
_cell_angle_alpha 90.00
_cell_angle_beta 90.00
_cell_angle_gamma 90.00
loop_
_atom_site_label
_atom_site_fract_x
_atom_site_fract_y
_atom_site_fract_z
Ca1 0.000 0.000 0.000
Pm1 0.000 0.000 0.500
Rh1 0.250 0.250 0.750
Se1 0.250 0.250 0.250
```

=====

Below is a geometry-optimized CaPmSiRh structure, with properties calculated at the GGA-PBE level.

Properties
* calculated volume: 22.05 Å³/atom
* formation energy without anion corrections: -0.44 eV per atom

```
data_CaPmSiRh
_symmetry_space_group_name_H-M 'F -4 3 m'
_symmetry_Int_Tables_number 216
_symmetry_space_group_name_Hall 'F -4 2 3'
_cell_length_a 7.066
_cell_length_b 7.066
_cell_length_c 7.066
_cell_angle_alpha 90.00
_cell_angle_beta 90.00
_cell_angle_gamma 90.00
loop_
_atom_site_label
_atom_site_fract_x
_atom_site_fract_y
_atom_site_fract_z
Ca1 0.000 0.000 0.000
Pm1 0.000 0.000 0.500
Si1 0.250 0.250 0.750
Rh1 0.250 0.250 0.250
```

=====

Below is a geometry-optimized CaPmSnRh structure, with properties calculated at the GGA-PBE level.

Properties
* polymorph energy (0 for the lowest one): 0.106 eV/atom
* calculated volume: 24.59 Å³/atom
* energy of formation from the pure elements: -0.5205 eV per atom

```
data_CaPmSnRh
_symmetry_space_group_name_H-M 'F -4 3 m'
_symmetry_Int_Tables_number 216
_symmetry_space_group_name_Hall 'F -4 2 3'
_cell_length_a 7.328
_cell_length_b 7.328
_cell_length_c 7.328
_cell_angle_alpha 90.00
_cell_angle_beta 90.00
_cell_angle_gamma 90.00
loop_
_atom_site_label
_atom_site_fract_x
_atom_site_fract_y
_atom_site_fract_z
Ca1 0.000 0.000 0.000
Pm1 0.000 0.000 0.500
Sn1 0.250 0.250 0.250
Rh1 0.250 0.250 0.750
```

=====

Below is a geometry-optimized CaPmSnRh structure, with properties calculated at the GGA-PBE level.

Properties
* polymorph energy (0 for the lowest one): 0.000 eV/atom
* calculated volume: 26.16 Å³/atom
* energy of formation from the pure elements: -0.6269 eV per atom

```
data_CaPmSnRh
_symmetry_space_group_name_H-M 'A m m 2'
_symmetry_Int_Tables_number 38
_cell_length_a 3.822
_cell_length_b 4.587
_cell_length_c 11.936
_cell_angle_alpha 90.00
_cell_angle_beta 90.00
_cell_angle_gamma 90.00
loop_
_symmetry_equiv_pos_as_xyz
'x,y,z'
'-x,-y,z'
'-x,y,z'
'x,-y,z'
'x,y+1/2,z+1/2'
'-x,-y+1/2,z+1/2'
'-x,y+1/2,z+1/2'
'x,-y+1/2,z+1/2'
loop_
_atom_site_label
_atom_site_fract_x
_atom_site_fract_y
_atom_site_fract_z
Ca1 0.000 0.000 0.000
Pm1 0.500 0.000 0.296
Sn1 0.500 0.000 0.591
Rh1 0.000 0.000 0.752
```

=====

Below is a geometry-optimized CaPm2Ta2Rh5 structure, with properties calculated at the GGA-PBE level.

Properties
* calculated volume: 20.66 Å³/atom
* energy of formation from the pure elements: -0.4000 eV per atom

```
data_CaPm2Ta2Rh5
_symmetry_space_group_name_H-M 'P 4/m b m'
_symmetry_Int_Tables_number 127
_symmetry_space_group_name_Hall '-P 4 2ab'
_cell_length_a 10.442
_cell_length_b 10.442
_cell_length_c 3.790
_cell_angle_alpha 90.00
_cell_angle_beta 90.00
_cell_angle_gamma 90.00
loop_
_atom_site_label
_atom_site_fract_x
_atom_site_fract_y
_atom_site_fract_z
Ca1 0.000 0.000 0.000
Pm1 0.179 0.321 0.000
Ta1 0.118 0.618 0.000
Rh1 0.000 0.500 0.500
Rh2 0.066 0.777 0.500
```

=====

What is the calculated volume in the seventh record?
26.16 Å³/atom

=====

Which formula does entry 7 have?
CaPmSnRh